Record 1
DFT (PBE-GGA) results for a relaxed TaSbIr2 crystal.

The space group is P2/m (No. 10) and the conventional cell measures 4.9309, 2.9632 and 4.9849 Å, with angles of 90.00, 110.84 and 90.00 degrees. Symmetry generates all atoms from Ta at (0.0000, 0.0000, 0.0000), Sb at (0.5000, 0.5000, 0.0000), Ir at (0.0000, 0.5000, 0.5000) and Ir at (0.5000, 0.0000, 0.5000).

The volume is 17.0 A^3/atom. The uncorrected formation energy comes out at 92 meV/atom. For the calculated density, the calculation gives 16.8 Mg/m³. The value obtained for the uncorrected energy is -8.333 eV/atom.

Record 2
DFT (PBE-GGA) results for a relaxed Sr2NdS3 crystal.

The space group is Fddd (No. 70, origin choice 2) and the conventional cell measures 8.4096, 11.8668 and 25.1277 Å, with angles of 90.00, 90.00 and 90.00 degrees. Symmetry generates all atoms from Sr at (0.1250, 0.1250, 0.0423), Sr at (0.1250, 0.1250, 0.3742), Nd at (0.1250, 0.1250, 0.5418), S at (0.1160, 0.3750, 0.8750) and S at (0.1201, 0.3705, 0.7099).

The volume is 26.1 A^3/atom. The uncorrected formation energy comes out at -2071 meV/atom. For the calculated density, the calculation gives 4.4 Mg/m³. The value obtained for the uncorrected energy is -5.490 eV/atom.

Record 3
DFT (PBE-GGA) results for a relaxed Tb3Er4Pu crystal.

The space group is Pmmn (No. 59, origin choice 2) and the conventional cell measures 4.9414, 9.9555 and 9.9422 Å, with angles of 90.00, 90.00 and 90.00 degrees. Symmetry generates all atoms from Tb at (0.2500, 0.0012, 0.1244), Tb at (0.2500, 0.2500, 0.8778), Er at (0.2500, 0.2500, 0.3752), Er at (0.2500, 0.5019, 0.6259), Er at (0.2500, 0.7500, 0.3760) and Pu at (0.2500, 0.7500, 0.8718).

The formation enthalpy at 0 K is 0.47 eV/f.u. The volume is 30.6 A^3/atom. For the calculated density, the calculation gives 9.4 Mg/m³. The value obtained for the uncorrected energy is -5.751 eV/atom.

Record 4
DFT (PBE-GGA) results for a relaxed Fe4NiPd4 crystal.

The space group is I4/mmm (No. 139) and the conventional cell measures 8.2129, 8.2129 and 3.6268 Å, with angles of 90.00, 90.00 and 90.00 degrees. Symmetry generates all atoms from Fe at (0.0000, 0.3393, 0.0000), Ni at (0.0000, 0.0000, 0.0000) and Pd at (0.1645, 0.1645, 0.5000).

The formation enthalpy at 0 K is -0.22 eV/f.u. The volume is 13.6 A^3/atom. For the calculated density, the calculation gives 9.6 Mg/m³. The value obtained for the uncorrected energy is -6.736 eV/atom.